Entry 1:
{
  "formula": "SrLi2Os",
  "functional": "PBE-GGA",
  "state": "relaxed",
  "formation_enthalpy_0k_mev_per_atom": 496,
  "sg": "No. 10",
  "de_polymorph_mev_per_atom": 0,
  "lattice": [[-0.832, -4.684, -0.817], [2.682, -0.395, -0.465], [1.121, -1.166, 5.544]],
  "species": ["Li", "Li", "Os", "Sr"],
  "frac_coords": [[0.000, 0.965, 0.070], [0.000, 0.535, 0.430], [0.500, 0.250, 0.250], [0.500, 0.750, 0.750]]
}

Entry 2:
{
  "formula": "LaPuBiO2",
  "functional": "PBE-GGA",
  "state": "relaxed",
  "sg": "No. 107",
  "formation_energy_uncorrected_ev_per_atom": -2.426,
  "lattice": [[-2.226, 1.733, -2.855], [-2.960, -2.613, 0.721], [-0.031, 4.687, 5.691]],
  "species": ["La", "Pu", "Bi", "O", "O"],
  "frac_coords": [[0.160, 0.160, 0.320], [0.838, 0.838, 0.676], [0.493, 0.493, 0.986], [0.755, 0.255, 0.509], [0.255, 0.755, 0.509]]
}

Entry 3:
{
  "formula": "TcTeAu2",
  "functional": "PBE-GGA",
  "state": "relaxed",
  "sg": "No. 216",
  "formation_energy_uncorrected_ev_per_atom": 0.482,
  "lattice": [[-1.070, 1.966, 4.189], [0.631, -2.465, 4.011], [3.469, 1.210, 3.011]],
  "species": ["Au", "Au", "Tc", "Te"],
  "frac_coords": [[0.000, 0.000, 0.000], [0.250, 0.250, 0.250], [0.500, 0.500, 0.500], [0.750, 0.750, 0.750]]
}

Entry 4:
{
  "formula": "Sc2NbCo",
  "functional": "PBE-GGA",
  "state": "relaxed",
  "formation_enthalpy_0k_mev_per_atom": -89,
  "sg": "No. 123",
  "de_polymorph_mev_per_atom": 0,
  "lattice": [[-1.379, -2.310, -1.565], [1.520, -2.086, 1.739], [-5.553, 0.015, 4.871]],
  "species": ["Sc", "Sc", "Nb", "Co"],
  "frac_coords": [[0.000, 0.000, 0.791], [0.000, 0.000, 0.209], [0.500, 0.500, 0.500], [0.500, 0.500, 0.000]]
}

| no. | calculated volume (Å³ per cell) |
| --- | --- |
| 1 | 76.5 |
| 2 | 109.6 |
| 3 | 75.8 |
| 4 | 71.6 |